# 1
12
Lattice="-1.9184 3.9392 1.0540 -0.7020 -1.0384 2.6033 11.9114 4.4651 4.9929" Properties=species:S:1:pos:R:3 comment="TcAsOs, relaxed, DFT PBE" de_polymorph_mev_per_atom=14 pbc="T T T"
As 6.8954 4.9140 3.8194
Tc 8.6157 5.1712 5.9892
As 0.5888 2.1622 2.6246
Os 6.7462 2.5289 2.8278
Os 10.7312 4.0227 4.4982
Tc -0.9446 1.9751 0.5331
As 8.4943 2.7965 5.0093
Tc 4.6601 3.6884 4.3312
Tc 3.0110 3.4579 2.1912
Os 4.4245 1.2709 3.3034
As 2.8896 1.0832 1.2112
Os 0.4395 -0.2229 1.6330

---

# 2
Entry from Alexandria: a relaxed structure of TcAsOs4 (PBE).

The structure in extended XYZ format:
```
6
Lattice="-0.3397 -4.5979 -2.3109 -4.4545 -1.4945 -2.1261 -0.4424 -0.2810 -5.1304" Properties=species:S:1:pos:R:3 pbc="T T T"
Os -4.1863 -3.1374 -4.6512
Os -2.1350 -4.6846 -4.7433
Tc -3.9274 -4.7800 -7.1755
As 0.0000 0.0000 0.0000
Os -2.1861 -2.5324 -6.1490
Os -1.9656 -2.3923 -3.5912
```

---

# 3
3
Lattice="-1.1773 -0.1930 7.8899 0.3872 -2.1567 6.5202 1.2616 1.8411 1.7884" Properties=species:S:1:pos:R:3 comment="TcAsOs, relaxed, DFT PBE" de_polymorph_mev_per_atom=156 pbc="T T T"
As 0.3872 -2.1554 6.5208
Os 0.5771 0.4414 5.9985
Tc -0.1056 -0.9513 10.1994

---

# 4
12
Lattice="-3.0717 1.3988 2.2285 -4.6757 -10.6907 0.2654 2.0709 -0.8221 3.3706" Properties=species:S:1:pos:R:3 comment="TcAsOs, relaxed, DFT PBE" de_polymorph_mev_per_atom=1 pbc="T T T"
As -2.9841 -8.2255 1.0498
Os -5.1106 -9.5794 0.8036
Os -4.9747 -5.0578 1.8230
As -3.4944 -7.9332 3.8331
Tc -5.6166 -9.3038 3.6034
Tc -2.3978 -6.1555 2.3937
As -1.1466 -2.5918 3.7166
Os -0.0655 -0.8229 2.2613
Os -3.2731 -3.9457 3.4704
As -0.6562 -2.8762 0.9009
Tc -2.6313 0.3003 1.6900
Tc -2.7783 -4.2469 0.6712

---

# 5
6
Lattice="2.8622 0.0000 0.0000 -1.4311 2.4785 0.0000 0.0000 0.0000 12.5310" Properties=species:S:1:pos:R:3 comment="TcAsOs, relaxed, DFT PBE" de_polymorph_mev_per_atom=127 pbc="T T T"
Os 1.4311 1.3778 4.1793
As 0.0000 0.5497 10.5545
Tc 0.0000 2.2040 6.2655
As 0.0000 0.5497 1.9765
Tc 0.0000 2.2026 0.0000
Os 1.4311 1.3778 8.3517

---

# 6
Entry from Alexandria: a relaxed structure of TcAsOs2 (PBE).

The structure in extended XYZ format:
```
4
Lattice="-4.1866 -1.6921 1.6149 -3.5960 -3.0712 -0.7972 1.9410 -3.3845 2.4104" Properties=species:S:1:pos:R:3 pbc="T T T"
Os -4.3928 -6.1636 2.4484
As -1.3693 -2.0677 0.8469
Os 1.7227 -3.3971 2.3641
Tc -2.7822 -3.9778 1.5930
```

---

# 7
6
Lattice="-2.6945 -1.8995 -2.3480 -2.7706 -1.9423 4.7509 -2.3253 3.3047 -0.0050" Properties=species:S:1:pos:R:3 comment="TcAsOs, relaxed, DFT PBE" de_polymorph_mev_per_atom=0 pbc="T T T"
Tc -2.1319 2.2065 0.6616
Tc -2.9639 -0.8441 4.0843
As -4.5738 -0.7469 0.6077
Os -2.3232 -0.4002 -0.4986
Os -5.4672 -0.1369 2.8965
As -2.0540 -1.4425 1.7928

---

# 8
Entry from Alexandria: a relaxed structure of Tc2As8Os (PBE).

The structure in extended XYZ format:
```
11
Lattice="-3.4162 1.5800 3.0236 5.7653 -2.1023 4.7394 5.9733 4.7418 1.3981" Properties=species:S:1:pos:R:3 pbc="T T T"
As 4.2256 -0.1793 4.2405
As 7.1929 3.2674 7.1404
As 7.0280 1.8270 4.1798
As 1.1295 0.9521 2.0206
Os 0.0000 0.0000 0.0000
As 4.3297 3.2438 2.5693
As 3.9928 0.9757 6.5917
Tc 8.8864 2.4993 5.6726
As 4.0968 4.3988 4.9205
As 1.2944 2.3925 4.9812
Tc -0.5639 1.7202 3.4884
```

---

# 9
3
Lattice="2.8511 0.0000 0.0000 0.0000 2.8547 0.0000 0.0000 0.0000 5.8537" Properties=species:S:1:pos:R:3 comment="TcAsOs, relaxed, DFT PBE" de_polymorph_mev_per_atom=3 pbc="T T T"
As 0.0000 0.0000 3.9864
Os 0.0000 1.4274 0.2255
Tc 1.4255 0.0000 1.8822

---

# 10
12
Lattice="5.3337 0.0000 0.0053 0.0000 4.0739 0.0000 -5.2360 0.0000 8.2217" Properties=species:S:1:pos:R:3 comment="TcAsOs, relaxed, DFT PBE" de_polymorph_mev_per_atom=107 pbc="T T T"
Tc 1.6235 2.0370 0.7188
Os -0.0983 0.0000 1.5564
As 0.5817 2.0370 2.9987
Os -0.8586 2.0370 8.1215
Os -2.7163 2.0370 5.6673
Tc -0.9945 0.0000 4.8297
As 0.1814 2.0370 5.8575
Tc -1.8560 2.0370 3.1439
As 2.7995 0.0000 1.7467
Tc -4.4741 0.0000 7.2548
Os 1.7594 0.0000 4.0106
As -2.0363 0.0000 7.1095

---

# 11
Entry from Alexandria: a relaxed structure of TcAs6Os (PBE).

The structure in extended XYZ format:
```
16
Lattice="-0.4785 2.1678 -7.1554 -5.8959 -4.2966 1.7044 0.0603 6.0312 4.4424" Properties=species:S:1:pos:R:3 pbc="T T T"
As -1.2866 5.0345 1.6540
As -5.0274 -1.1322 -2.6626
As -1.0904 2.5229 -1.7273
As -1.1999 5.0508 -2.5866
As -2.4550 1.5695 -4.6103
Tc -2.9480 -2.1483 0.8522
As -5.1142 -1.1484 1.5781
As -4.2537 2.1029 -2.7153
As -3.0640 -0.4765 -0.9836
As -2.0604 1.7994 1.7067
Tc -0.2392 1.0839 -3.5777
As -3.2501 4.3788 -0.0250
Os 0.0302 3.0156 2.2212
Os -3.1570 1.9512 -0.5043
As -5.2236 1.3795 0.7188
As -3.8591 2.3329 3.6018
```

---

# 12
Entry from Alexandria: a relaxed structure of TcAsOs2 (PBE).

The structure in extended XYZ format:
```
4
Lattice="-1.3063 -8.3558 2.1718 1.3905 -8.5099 1.3756 0.7400 -7.7258 4.0010" Properties=species:S:1:pos:R:3 pbc="T T T"
Tc 0.6181 -18.4436 5.6613
As 0.2060 -6.1479 1.8871
Os 0.4124 -12.3042 3.7768
Os 0.8239 -24.5830 7.5458
```

---

Fermi-level density of states list, top to bottom, in states/eV/atom: 0.884 1.388 0.793 0.394 0.644 0.887 0.363 0.446 0.333 0.647 1.033 1.061
Energy of formation from the pure elements list, top to bottom, in eV/atom: 0.05 0.96 0.19 0.03 0.16 0.30 0.03 0.15 0.04 0.14 -0.03 0.28
E_tot list, top to bottom, in eV/atom: -8.701 -9.029 -8.559 -8.714 -8.587 -9.064 -8.715 -6.137 -8.711 -8.608 -6.213 -9.092